Computed, not measured: LaSmTaN4 after structural relaxation at the PBE level of DFT.

Calculated values
Formation energy from raw total energies: -1159 meV per atom
Crystal system: tetragonal
Calculated volume: 14.787 A^3/atom
Total moment: 0.01 μB per cell

Unit cell a=4.0676 b=4.0676 c=6.8854 alpha=107.18 beta=107.18 gamma=90.00
Last column: nearest neighbours and their distance in Å.
Sites, in units of the cell vectors:
La1 0.6473 0.6473 0.2947  1 N 2.29
Sm1 0.3595 0.3595 0.7190  5 N 2.38-2.65
Ta1 0.0026 0.0026 0.0051  6 N 2.04-2.15
N1 0.9953 0.4953 0.9907  2 Ta 2.04
N2 0.4953 0.9953 0.9907  2 Ta 2.04
N3 0.8306 0.8306 0.6611  1 Ta 2.15, 1 La 2.29
N4 0.1694 0.1694 0.3388  1 Ta 2.09


Computed, not measured: ReRh2Br after structural relaxation at the PBE level of DFT.

Calculated values
Formation energy from raw total energies: 635 meV per atom
Crystal system: tetragonal
Energy relative to the lowest polymorph listed for this composition: 329 meV/atom
Calculated volume: 15.789 A^3/atom
Total moment: 0.00 μB per cell

Unit cell a=2.9239 b=2.9239 c=7.3877 alpha=90.00 beta=90.00 gamma=90.00
Last column: nearest neighbours and their distance in Å.
Sites, in units of the cell vectors:
Re1 0.5000 0.5000 0.7628  4 Rh 2.63, 4 Br 2.78, 4 Re 2.92
Rh1 0.0000 0.0000 0.9836  4 Re 2.63, 8 Rh 2.82-2.92
Rh2 0.5000 0.5000 0.2430  8 Rh 2.82-2.92, 4 Br 2.86
Br1 0.0000 0.0000 0.5107  4 Re 2.78, 4 Rh 2.86, 4 Br 2.92


Computed, not measured: SbPPb after structural relaxation at the PBE level of DFT.

Calculated values
Formation energy from raw total energies: 128 meV per atom
Crystal system: triclinic
Energy relative to the lowest polymorph listed for this composition: 52 meV/atom
Calculated volume: 30.196 A^3/atom
Total moment: 0.00 μB per cell

Unit cell a=4.7865 b=6.1620 c=7.1255 alpha=109.69 beta=90.04 gamma=112.23
Last column: nearest neighbours and their distance in Å.
Sites, in units of the cell vectors:
Sb1 0.3024 0.9731 0.3484  2 P 2.58-2.59
Sb2 0.8525 0.9638 0.8470  2 P 2.58-2.59
P1 0.7044 0.2179 0.1719  2 Sb 2.58-2.59, 2 Pb 2.80-2.82
P2 0.6993 0.2161 0.6724  2 Sb 2.58-2.59, 2 Pb 2.80-2.81
Pb1 0.1815 0.4696 0.4995  2 P 2.80-2.82
Pb2 0.4574 0.4611 0.9957  2 P 2.80-2.81


Computed, not measured: BiAsPb2 after structural relaxation at the PBE level of DFT.

Calculated values
Crystal system: trigonal
Energy relative to the lowest polymorph listed for this composition: 28 meV/atom
Calculated volume: 30.891 A^3/atom
Total moment: 0.00 μB per cell

Unit cell a=4.1465 b=4.1465 c=8.6370 alpha=76.11 beta=76.11 gamma=60.00
Last column: nearest neighbours and their distance in Å.
Sites, in units of the cell vectors:
Bi1 0.4982 0.4982 0.5055  6 Pb 3.34-3.44
As1 0.6664 0.6664 0.0008  6 Pb 2.95-2.99
Pb1 0.0715 0.0715 0.7855  3 As 2.99, 3 Bi 3.34
Pb2 0.2639 0.2639 0.2082  3 As 2.95